Entry 1:
VASP calculation (PBE) on a relaxed KAl6O8 crystal.

Unit cell a=6.5029 b=6.5029 c=6.5029 alpha=60.00 beta=60.00 gamma=60.00
Last column: nearest neighbours and their distance in Å.
Fractional positions:
O1 0.8496 0.8496 0.4513  3 Al 1.89
O2 0.1504 0.1504 0.1504  3 Al 1.89
O3 0.8496 0.8496 0.8496  3 Al 1.89
Al1 0.0000 0.5000 0.0000  4 O 1.89
O4 0.1504 0.1504 0.5487  3 Al 1.89
O5 0.5487 0.1504 0.1504  3 Al 1.89
O6 0.8496 0.4513 0.8496  3 Al 1.89
Al2 0.5000 0.0000 0.0000  4 O 1.89
Al3 0.5000 0.5000 0.0000  4 O 1.89
O7 0.4513 0.8496 0.8496  3 Al 1.89
Al4 0.0000 0.5000 0.5000  4 O 1.89
Al5 0.5000 0.0000 0.5000  4 O 1.89
O8 0.1504 0.5487 0.1504  3 Al 1.89
K1 0.0000 0.0000 0.0000  8 O 2.40
Al6 0.0000 0.0000 0.5000  4 O 1.89

Properties
V in Å³/f.u.: 194
Total magnetic moment in μB/f.u.: 0.00
Formation energy from raw total energies in meV per atom: -1997

Entry 2:
VASP calculation (PBE) on a relaxed KAl11O17 crystal.

Unit cell a=11.9583 b=11.9583 c=11.9583 alpha=27.33 beta=27.33 gamma=27.33
Last column: nearest neighbours and their distance in Å.
Fractional positions:
Al1 0.3502 0.3502 0.3502  4 O 1.82-1.84
O1 0.7195 0.1895 0.1895  2 Al 1.82-1.90
K1 0.1705 0.1705 0.1705  4 O 2.65-2.81
O2 0.8100 0.8100 0.2814  2 Al 1.82-1.91
O3 0.0936 0.0936 0.0936  3 Al 1.83
Al2 0.5951 0.0971 0.0971  4 O 1.82-2.00
O4 0.9066 0.9066 0.9066  3 Al 1.82
Al3 0.9021 0.9021 0.4075  4 O 1.83-1.99
O5 0.1895 0.1895 0.7195  2 Al 1.82-1.90
O6 0.5000 0.5000 0.5000  2 Al 1.72
Al4 0.5499 0.5499 0.5499  4 O 1.72-1.80
O7 0.2968 0.2968 0.2968  4 Al 1.84-2.00
O8 0.0936 0.5970 0.5970  3 Al 1.79-1.84
O9 0.7032 0.7032 0.7032  4 Al 1.83-1.99
O10 0.5970 0.0936 0.5970  3 Al 1.79-1.84
O11 0.9082 0.4015 0.4015  3 Al 1.80-1.85
Al5 0.4500 0.4500 0.4500  4 O 1.72-1.79
Al6 0.4075 0.9021 0.9021  4 O 1.83-1.99
O12 0.8100 0.2814 0.8100  2 Al 1.82-1.91
O13 0.4015 0.9082 0.4015  3 Al 1.80-1.85
Al7 0.6502 0.6502 0.6502  4 O 1.82-1.83
Al8 0.0971 0.0971 0.5951  4 O 1.82-2.00
O14 0.4015 0.4015 0.9082  3 Al 1.80-1.85
O15 0.5970 0.5970 0.0936  3 Al 1.79-1.84
Al9 0.9021 0.4075 0.9021  4 O 1.83-1.99
Al10 0.0971 0.5951 0.0971  4 O 1.82-2.00
O16 0.2814 0.8100 0.8100  2 Al 1.82-1.91
Al11 0.0001 0.0001 0.0001  6 O 1.90-1.91
O17 0.1895 0.7195 0.1895  2 Al 1.82-1.90

Properties
V in Å³/f.u.: 318
Total magnetic moment in μB/f.u.: 0.00
Formation energy from raw total energies in meV per atom: -2967
ΔE to the lowest computed polymorph in meV per atom: 6.5

Entry 3:
VASP calculation (PBE) on a relaxed K3AlO crystal.

Unit cell a=5.4580 b=5.4580 c=5.4580 alpha=90.00 beta=90.00 gamma=90.00
Last column: nearest neighbours and their distance in Å.
Fractional positions:
Al1 0.5000 0.5000 0.5000  12 K 3.86
K1 0.5000 0.0000 0.0000  2 O 2.73
K2 0.0000 0.5000 0.0000  2 O 2.73
K3 0.0000 0.0000 0.5000  2 O 2.73
O1 0.0000 0.0000 0.0000  6 K 2.73

Properties
V in Å³/f.u.: 163
Total magnetic moment in μB/f.u.: 1.81
Formation energy from raw total energies in meV per atom: -248
ΔE to the lowest computed polymorph in meV per atom: 0.0

Entry 4:
VASP calculation (PBE) on a relaxed KAl9O14 crystal.

Unit cell a=7.7592 b=8.2792 c=9.7915 alpha=58.24 beta=90.00 gamma=90.00
Last column: nearest neighbours and their distance in Å.
Fractional positions:
O1 0.7923 0.5796 0.2899  3 Al 1.75-1.93
Al1 0.3108 0.6760 0.0927  4 O 1.78-1.88
Al2 0.3230 0.9341 0.2214  4 O 1.75-1.84
O2 0.2077 0.4204 0.7101  3 Al 1.75-1.93
O3 0.5420 0.2070 0.8317  3 Al 1.82-1.88
O4 0.5826 0.9281 0.7113  3 Al 1.75-1.94
O5 0.4378 0.4044 0.9490  3 Al 1.77-1.98
Al3 0.1770 0.9341 0.7214  4 O 1.75-1.84
O6 0.9580 0.2070 0.3317  3 Al 1.82-1.88
Al4 0.0000 0.0000 0.0000  6 O 1.94-1.96
O7 0.2141 0.0934 0.0380  3 Al 1.75-1.95
O8 0.4580 0.7930 0.1683  3 Al 1.82-1.88
Al5 0.5000 0.0000 0.5000  6 O 1.94-1.96
Al6 0.5024 0.3257 0.1717  6 O 1.90-1.98
Al7 0.9976 0.3257 0.6717  6 O 1.90-1.98
O9 0.4174 0.0719 0.2887  3 Al 1.75-1.94
O10 0.8975 0.2540 0.8742  3 Al 1.80-1.96
Al8 0.8230 0.0659 0.2786  4 O 1.75-1.84
O11 0.7141 0.9066 0.4620  3 Al 1.75-1.95
O12 0.2058 0.7544 0.3855  3 Al 1.76-1.91
O13 0.3975 0.7460 0.6258  3 Al 1.80-1.96
O14 0.7942 0.2456 0.6145  3 Al 1.76-1.91
O15 0.5622 0.5956 0.0510  3 Al 1.77-1.98
Al9 0.0024 0.6743 0.3283  6 O 1.90-1.98
O16 0.2942 0.7544 0.8855  3 Al 1.76-1.91
O17 0.7859 0.9066 0.9620  3 Al 1.75-1.95
O18 0.7077 0.5796 0.7899  3 Al 1.75-1.93
O19 0.2859 0.0934 0.5380  3 Al 1.75-1.95
O20 0.0622 0.4044 0.4490  3 Al 1.77-1.98
O21 0.0420 0.7930 0.6683  3 Al 1.82-1.88
O22 0.6025 0.2540 0.3742  3 Al 1.80-1.96
O23 0.9174 0.9281 0.2113  3 Al 1.75-1.94
Al10 0.4976 0.6743 0.8283  6 O 1.90-1.98
K1 0.5000 0.5000 0.5000  8 O 2.87-2.99, 2 Al 3.19
O24 0.7058 0.2456 0.1145  3 Al 1.76-1.91
O25 0.9378 0.5956 0.5510  3 Al 1.77-1.98
Al11 0.6770 0.0659 0.7786  4 O 1.75-1.84
Al12 0.1892 0.6760 0.5927  4 O 1.78-1.88
Al13 0.6649 0.7289 0.1218  4 O 1.75-1.82
Al14 0.8108 0.3240 0.4073  4 O 1.78-1.88
Al15 0.8351 0.7289 0.6218  4 O 1.75-1.82
Al16 0.6892 0.3240 0.9073  4 O 1.78-1.88
K2 0.0000 0.5000 0.0000  8 O 2.87-2.99, 2 Al 3.19
O26 0.2923 0.4204 0.2101  3 Al 1.75-1.93
O27 0.1025 0.7460 0.1258  3 Al 1.80-1.96
Al17 0.1649 0.2711 0.3782  4 O 1.75-1.82
Al18 0.3351 0.2711 0.8782  4 O 1.75-1.82
O28 0.0826 0.0719 0.7887  3 Al 1.75-1.94

Properties
V in Å³/f.u.: 267
Total magnetic moment in μB/f.u.: 0.00
Formation energy from raw total energies in meV per atom: -2950

Entry 5:
VASP calculation (PBE) on a relaxed KAl2O crystal.

Unit cell a=5.0959 b=5.0959 c=7.7945 alpha=70.92 beta=70.92 gamma=90.00
Last column: nearest neighbours and their distance in Å.
Fractional positions:
O1 0.5000 0.5000 0.0000  4 Al 2.15
K1 0.0000 0.0000 0.0000  8 Al 3.33, 4 O 3.60
O2 0.2500 0.7500 0.5000  4 Al 2.15
K2 0.7500 0.2500 0.5000  8 Al 3.33, 4 O 3.60
Al1 0.3750 0.6250 0.7500  2 O 2.15
Al2 0.8750 0.6250 0.7500  2 O 2.15
Al3 0.3750 0.6250 0.2500  2 O 2.15
Al4 0.3750 0.1250 0.2500  2 O 2.15

Properties
V in Å³/f.u.: 90
Total magnetic moment in μB/f.u.: 0.00
Formation energy from raw total energies in meV per atom: -394

Entry 6:
VASP calculation (PBE) on a relaxed KAlP2O7 crystal.

Unit cell a=9.7807 b=7.4512 c=8.1585 alpha=72.91 beta=90.00 gamma=90.00
Last column: nearest neighbours and their distance in Å.
Fractional positions:
O1 0.9305 0.3686 0.7389  1 P 1.53
P1 0.8691 0.5657 0.6883  4 O 1.52-1.64
Al1 0.1003 0.2385 0.7407  6 O 1.87-1.94
O2 0.2589 0.0855 0.7451  1 P 1.53
O3 0.3958 0.3229 0.9971  1 P 1.52
Al2 0.8997 0.7615 0.2593  6 O 1.87-1.94
O4 0.7190 0.5572 0.7454  1 P 1.54
P2 0.6309 0.5657 0.1883  4 O 1.52-1.64
O5 0.0468 0.3233 0.1973  2 P 1.63-1.64
P3 0.3691 0.4343 0.8117  4 O 1.52-1.64
O6 0.1042 0.3229 0.4971  1 P 1.52
O7 0.4532 0.3233 0.6973  2 P 1.63-1.64
P4 0.4030 0.1264 0.6687  4 O 1.50-1.63
K1 0.6822 0.1814 0.9420  8 O 2.80-3.07
O8 0.4305 0.6314 0.7611  1 P 1.53
O9 0.7810 0.5572 0.2454  1 P 1.54
P5 0.9030 0.8736 0.8313  4 O 1.50-1.63
P6 0.1309 0.4343 0.3117  4 O 1.52-1.64
O10 0.4081 0.1499 0.4796  1 P 1.50
K2 0.1822 0.8186 0.5580  8 O 2.80-3.07
Al3 0.3997 0.2385 0.2407  6 O 1.87-1.94
O11 0.5695 0.3686 0.2389  1 P 1.53
O12 0.2411 0.0855 0.2451  1 P 1.53
O13 0.5919 0.8501 0.5204  1 P 1.50
O14 0.7411 0.9145 0.2549  1 P 1.53
O15 0.0695 0.6314 0.2611  1 P 1.53
K3 0.3178 0.8186 0.0580  8 O 2.80-3.07
O16 0.2810 0.4428 0.2546  1 P 1.54
O17 0.9992 0.9777 0.2759  1 P 1.53
O18 0.0008 0.0223 0.7241  1 P 1.53
O19 0.4992 0.0223 0.2241  1 P 1.53
P7 0.5970 0.8736 0.3313  4 O 1.50-1.63
O20 0.2190 0.4428 0.7546  1 P 1.54
K4 0.8178 0.1814 0.4420  8 O 2.80-3.07
Al4 0.6003 0.7615 0.7593  6 O 1.87-1.94
O21 0.0919 0.1499 0.9796  1 P 1.50
O22 0.8958 0.6771 0.5029  1 P 1.52
O23 0.6042 0.6771 0.0029  1 P 1.52
O24 0.9081 0.8501 0.0204  1 P 1.50
P8 0.0970 0.1264 0.1687  4 O 1.50-1.63
O25 0.5468 0.6767 0.3027  2 P 1.63-1.64
O26 0.5008 0.9777 0.7759  1 P 1.53
O27 0.9532 0.6767 0.8027  2 P 1.63-1.64
O28 0.7589 0.9145 0.7549  1 P 1.53

Properties
V in Å³/f.u.: 142
Total magnetic moment in μB/f.u.: 0.00
Formation energy from raw total energies in meV per atom: -2494